Entry from Alexandria via LeMat-Bulk: Li3ZnCd2Au3 after structural relaxation (PBE-GGA).

Its formation energy is -0.3652 eV/atom. As for the crystal system: hexagonal. The raw total energy comes out at -2.441 eV per atom. The spin magnetization comes out at 0.0 μB/f.u. The calculation puts the volume at 157.4 Å³/cell.

Unit cell a=7.8645 b=7.8645 c=2.9382 alpha=90.00 beta=90.00 gamma=120.00
Space group P-62m (No. 189)
One atom of each set of equivalent atoms:
1 Li 0.0000 0.3539 0.0000 [3 per cell]
2 Zn 0.0000 0.0000 0.0000 [1 per cell]
3 Cd 0.3333 0.6667 0.5000 [2 per cell]
4 Au 0.0000 0.7135 0.5000 [3 per cell]

=====

Entry from Alexandria via LeMat-Bulk: Ac6In2Ge after structural relaxation (PBE-GGA).

Its formation energy is -0.3544 eV/atom. As for the crystal system: hexagonal. The raw total energy comes out at -4.215 eV per atom. The spin magnetization comes out at 1.0 μB/f.u. The calculation puts the volume at 333.3 Å³/cell.

Unit cell a=9.0240 b=9.0240 c=4.7258 alpha=90.00 beta=90.00 gamma=120.00
Space group P-62m (No. 189)
One atom of each set of equivalent atoms:
1 Ac 0.0000 0.2538 0.0000 [3 per cell]
2 Ac 0.0000 0.5999 0.5000 [3 per cell]
3 In 0.3333 0.6667 0.0000 [2 per cell]
4 Ge 0.0000 0.0000 0.5000 [1 per cell]

=====

Entry from Alexandria via LeMat-Bulk: Cr2CdRu after structural relaxation (PBE-GGA).

Its formation energy is 0.3436 eV/atom. As for the crystal system: trigonal. The raw total energy comes out at -7.016 eV per atom. The spin magnetization comes out at 0.0 μB/f.u. The calculation puts the volume at 175.5 Å³/cell.

Unit cell a=2.8116 b=2.8116 c=25.6397 alpha=90.00 beta=90.00 gamma=120.00
Space group R3m (No. 160, hexagonal axes)
One atom of each set of equivalent atoms:
1 Cr 0.0000 0.0000 0.0000 [3 per cell]
2 Cr 0.0000 0.0000 0.2706 [3 per cell]
3 Cd 0.0000 0.0000 0.5073 [3 per cell]
4 Ru 0.0000 0.0000 0.7442 [3 per cell]

=====

Repeat the third record exactly.
Entry from Alexandria via LeMat-Bulk: Cr2CdRu after structural relaxation (PBE-GGA).

Its formation energy is 0.3436 eV/atom. As for the crystal system: trigonal. The raw total energy comes out at -7.016 eV per atom. The spin magnetization comes out at 0.0 μB/f.u. The calculation puts the volume at 175.5 Å³/cell.

Unit cell a=2.8116 b=2.8116 c=25.6397 alpha=90.00 beta=90.00 gamma=120.00
Space group R3m (No. 160, hexagonal axes)
One atom of each set of equivalent atoms:
1 Cr 0.0000 0.0000 0.0000 [3 per cell]
2 Cr 0.0000 0.0000 0.2706 [3 per cell]
3 Cd 0.0000 0.0000 0.5073 [3 per cell]
4 Ru 0.0000 0.0000 0.7442 [3 per cell]

=====

- Which of these has the lowest formation energy?
  Li3ZnCd2Au3